Compound: Sr2Li3PtO6
Source: the Alexandria database
Functional: PBE
Structure: optimized geometry

The structure in POSCAR format:
```
Sr2Li3PtO6
1.0
6.134 -0.238 0.072
-3.272 5.194 0.072
-0.894 -1.548 4.963
Sr O Li Pt
2 6 3 1
direct
0.671 0.329 0.000
0.329 0.671 0.000
0.929 0.664 0.751
0.071 0.336 0.249
0.229 0.229 0.768
0.771 0.771 0.232
0.664 0.929 0.751
0.336 0.071 0.249
0.892 0.108 0.500
0.500 0.500 0.500
0.108 0.892 0.500
0.000 0.000 0.000
```



Compound: Sr3Li2PtO6
Source: the Alexandria database
Functional: PBE
Structure: optimized geometry

The structure in POSCAR format:
```
Sr3Li2PtO6
1.0
5.760 0.000 0.000
-2.880 4.988 0.000
0.000 0.000 6.311
Sr Li O Pt
3 2 6 1
direct
0.667 0.333 0.382
0.333 0.667 0.618
0.000 0.000 0.000
0.667 0.333 0.802
0.333 0.667 0.198
0.835 0.165 0.695
0.165 0.329 0.305
0.329 0.165 0.695
0.835 0.671 0.695
0.165 0.835 0.305
0.671 0.835 0.305
0.000 0.000 0.500
```



Compound: LiTaPtO4
Source: the Alexandria database
Functional: PBE
Structure: optimized geometry

The structure in POSCAR format:
```
LiTaPtO4
1.0
5.953 0.000 0.000
-2.977 6.010 0.148
0.000 -3.113 5.120
O Ta Pt Li
8 2 2 2
direct
0.749 0.061 0.781
0.313 0.061 0.781
0.698 0.396 0.228
0.251 0.939 0.219
0.687 0.939 0.219
0.698 0.396 0.668
0.302 0.604 0.772
0.302 0.604 0.332
0.500 0.000 0.000
0.500 0.000 0.500
0.500 0.500 0.500
0.000 0.500 0.500
0.153 0.306 0.903
0.847 0.694 0.097
```



Compound: LiTaPtO6
Source: the Alexandria database
Functional: PBE
Structure: optimized geometry

The structure in POSCAR format:
```
LiTaPtO6
1.0
-3.948 2.719 -2.120
-0.268 -1.541 5.003
3.975 7.815 2.620
O Li Ta Pt
12 2 2 2
direct
0.002 0.358 0.133
0.642 0.645 0.133
0.358 0.002 0.633
0.002 0.645 0.367
0.355 0.358 0.367
0.998 0.642 0.867
0.645 0.642 0.633
0.645 0.002 0.867
0.355 0.998 0.133
0.642 0.998 0.367
0.998 0.355 0.633
0.358 0.355 0.867
0.000 0.000 0.000
0.000 0.000 0.500
0.667 0.333 0.250
0.333 0.667 0.750
0.333 0.667 0.250
0.667 0.333 0.750
```



Compound: LiTaPtO2
Source: the Alexandria database
Functional: PBE
Structure: optimized geometry

The structure in POSCAR format:
```
LiTaPtO2
1.0
4.063 0.000 0.000
0.000 5.051 0.000
0.000 0.000 4.063
O Li Ta Pt
2 1 1 1
direct
0.500 0.000 0.000
0.000 0.000 0.500
0.500 0.500 0.500
0.000 0.500 0.000
0.000 0.000 0.000
```



Compound: LiTa2PtO
Source: the Alexandria database
Functional: PBE
Structure: optimized geometry

The structure in POSCAR format:
```
LiTa2PtO
1.0
-3.303 3.580 0.335
-2.123 -2.241 3.020
2.678 2.146 3.474
O Li Ta Pt
1 1 2 1
direct
0.500 0.500 0.500
0.000 0.500 0.000
0.500 0.000 0.000
0.000 0.000 0.500
0.000 0.000 0.000
```



Compound: LiTb2PtO6
Source: the Alexandria database
Functional: PBE
Structure: optimized geometry

The structure in POSCAR format:
```
LiTb2PtO6
1.0
5.337 0.000 0.027
0.000 5.786 0.000
0.086 0.000 7.601
Li O Tb Pt
2 12 4 2
direct
0.500 0.000 0.000
0.000 0.500 0.500
0.327 0.702 0.439
0.121 0.459 0.752
0.173 0.202 0.061
0.810 0.816 0.558
0.827 0.798 0.939
0.379 0.959 0.748
0.190 0.184 0.442
0.673 0.298 0.561
0.310 0.684 0.058
0.621 0.041 0.252
0.879 0.541 0.248
0.690 0.316 0.942
0.477 0.418 0.248
0.023 0.918 0.252
0.977 0.082 0.748
0.523 0.582 0.752
0.000 0.500 0.000
0.500 0.000 0.500
```



Compound: LiTbPtO4
Source: the Alexandria database
Functional: PBE
Structure: optimized geometry

The structure in POSCAR format:
```
LiTbPtO4
1.0
6.342 0.000 0.000
-3.171 5.556 -0.705
0.000 -3.626 5.963
O Li Tb Pt
8 2 2 2
direct
0.239 0.478 0.681
0.257 0.974 0.737
0.743 0.026 0.263
0.761 0.522 0.704
0.239 0.478 0.296
0.283 0.026 0.263
0.761 0.522 0.319
0.717 0.974 0.737
0.077 0.154 0.827
0.923 0.846 0.173
0.500 0.000 0.000
0.500 0.000 0.500
0.500 0.500 0.500
0.000 0.500 0.500
```



Number 1: formation energy without anion corrections -1769 meV per atom, electronic total energy -5.5099 eV/atom. Number 2: formation energy without anion corrections -1918 meV per atom, electronic total energy -5.6395 eV/atom. Number 3: formation energy without anion corrections -1793 meV per atom, electronic total energy -7.4561 eV/atom. Number 4: formation energy without anion corrections -1437 meV per atom, electronic total energy -6.9429 eV/atom. Number 5: formation energy without anion corrections 720 meV per atom, electronic total energy -5.2249 eV/atom. Number 6: formation energy without anion corrections 1154 meV per atom, electronic total energy -6.1699 eV/atom. Number 7: formation energy without anion corrections -2266 meV per atom, electronic total energy -6.9620 eV/atom. Number 8: formation energy without anion corrections -1890 meV per atom, electronic total energy -6.5212 eV/atom.